[1]
Material: Ac6InNi2I3
Method: DFT, PBE-GGA
State: relaxed

```
data_Ac6InNi2I3
_chemical_formula_sum 'Ac12 In2 Ni4 I6'
_cell_length_a 21.3399
_cell_length_b 4.3820
_cell_length_c 10.2185
_cell_angle_alpha 90.00
_cell_angle_beta 109.08
_cell_angle_gamma 90.00
_symmetry_space_group_name_H-M 'C 1 2/m 1'
_symmetry_Int_Tables_number 12
loop_
_symmetry_equiv_pos_as_xyz
'x,y,z'
'-x,-y,-z'
'-x,y,-z'
'x,-y,z'
'x+1/2,y+1/2,z'
'-x+1/2,-y+1/2,-z'
'-x+1/2,y+1/2,-z'
'x+1/2,-y+1/2,z'
loop_
_atom_site_label
_atom_site_fract_x
_atom_site_fract_y
_atom_site_fract_z
_atom_site_occupancy
Ac1 0.0245 0.0000 0.2532 1
Ac2 0.1643 0.5000 0.1394 1
Ac3 0.1823 0.5000 0.5482 1
In1 0.0000 0.5000 0.0000 1
Ni1 0.1719 0.0000 0.3440 1
I1 0.0000 0.5000 0.5000 1
I2 0.1596 0.0000 0.8353 1
```

Raw formation energy: -15.5 kcal/mol of atoms
Energy: -103.364 eV/cell

[2]
Material: AcInIO6
Method: DFT, PBE-GGA
State: relaxed

```
data_AcInIO6
_chemical_formula_sum 'Ac1 In1 I1 O6'
_cell_length_a 5.5637
_cell_length_b 5.5637
_cell_length_c 5.3566
_cell_angle_alpha 90.00
_cell_angle_beta 90.00
_cell_angle_gamma 120.00
_symmetry_space_group_name_H-M 'P 3 1 2'
_symmetry_Int_Tables_number 149
loop_
_symmetry_equiv_pos_as_xyz
'x,y,z'
'-y,x-y,z'
'-x+y,-x,z'
'-y,-x,-z'
'-x+y,y,-z'
'x,x-y,-z'
loop_
_atom_site_label
_atom_site_fract_x
_atom_site_fract_y
_atom_site_fract_z
_atom_site_occupancy
Ac1 0.0000 0.0000 0.0000 1
In1 0.3333 0.6667 0.5000 1
I1 0.6667 0.3333 0.5000 1
O1 0.3788 0.0230 0.7148 1
```

Raw formation energy: -35.4 kcal/mol of atoms
Energy: -51.943 eV/cell